1.
Entry from the Open Quantum Materials Database: an optimized crystal structure of FeSiNiOs (PBE).

Cell lengths 4.0672, 4.0672, 4.0672 Å; angles 60.00, 60.00, 60.00 degrees
With the nearest neighbours (Å) after each atom.
Fractional coordinates of all 4 atoms:
Fe1 0.7500 0.7500 0.7500  4 Ni 2.49, 4 Si 2.49
Ni1 0.5000 0.5000 0.5000  4 Fe 2.49, 4 Os 2.49
Os1 0.2500 0.2500 0.2500  4 Ni 2.49, 4 Si 2.49
Si1 0.0000 0.0000 0.0000  4 Fe 2.49, 4 Os 2.49

Values from the calculation:
Magnetization   2.17 Bohr magnetons per cell
Offset from the most stable computed form   0 meV/atom

2.
Entry from the Open Quantum Materials Database: an optimized crystal structure of YErCo2B2C2 (PBE).

Cell lengths 3.5238, 3.5238, 7.6274 Å; angles 90.00, 90.00, 90.00 degrees
With the nearest neighbours (Å) after each atom.
Fractional coordinates of all 8 atoms:
B1 0.5000 0.5000 0.3494  1 C 1.51
B2 0.0000 0.0000 0.6513  1 C 1.51
C1 0.5000 0.5000 0.1521  1 B 1.51
C2 0.0000 0.0000 0.8491  1 B 1.51
Co1 0.5000 0.0000 0.4993  4 B 2.10-2.11
Co2 0.0000 0.5000 0.4993  4 B 2.10-2.11
Er1 0.0000 0.0000 0.1662  5 C 2.42-2.49
Y1 0.5000 0.5000 0.8333  5 C 2.43-2.49

Values from the calculation:
Magnetization   0.99 Bohr magnetons per cell

3.
Entry from the Open Quantum Materials Database: an optimized crystal structure of LuFeHgBi (PBE).

Cell lengths 5.0499, 5.0499, 5.0499 Å; angles 60.00, 60.00, 60.00 degrees
With the nearest neighbours (Å) after each atom.
Fractional coordinates of all 4 atoms:
Bi1 0.0000 0.0000 0.0000  4 Hg 3.09, 4 Fe 3.09
Fe1 0.7500 0.7500 0.7500  4 Bi 3.09, 4 Lu 3.09
Hg1 0.2500 0.2500 0.2500  4 Lu 3.09, 4 Bi 3.09
Lu1 0.5000 0.5000 0.5000  4 Hg 3.09, 4 Fe 3.09

Values from the calculation:
Magnetization   2.02 Bohr magnetons per cell
Offset from the most stable computed form   84 meV/atom

4.
Entry from the Open Quantum Materials Database: an optimized crystal structure of Lu2TaCu (PBE).

Cell lengths 4.8509, 4.8509, 4.8509 Å; angles 60.00, 60.00, 60.00 degrees
With the nearest neighbours (Å) after each atom.
Fractional coordinates of all 4 atoms:
Cu1 0.2500 0.2500 0.2500  4 Lu 2.97, 4 Ta 2.97
Lu1 0.0000 0.0000 0.0000  4 Cu 2.97, 4 Lu 2.97
Lu2 0.7500 0.7500 0.7500  4 Ta 2.97, 4 Lu 2.97
Ta1 0.5000 0.5000 0.5000  4 Lu 2.97, 4 Cu 2.97

Values from the calculation:
Magnetization   0.58 Bohr magnetons per cell
ΔE_f   0.450 eV/atom

5.
Entry from the Open Quantum Materials Database: an optimized crystal structure of In2HgSe3S (PBE).

Cell lengths 5.9545, 5.9817, 7.1608 Å; angles 65.43, 65.66, 89.23 degrees
With the nearest neighbours (Å) after each atom.
Fractional coordinates of all 7 atoms:
Hg1 0.0026 0.0000 0.9980  1 S 2.63, 3 Se 2.71-2.72
In1 0.2547 0.7533 0.5029  1 S 2.51, 3 Se 2.64-2.65
In2 0.4992 0.5057 0.9958  1 S 2.51, 3 Se 2.64
S1 0.3941 0.8810 0.7373  2 In 2.51, 1 Hg 2.63
Se1 0.1001 0.1423 0.2745  2 In 2.64, 1 Hg 2.71
Se2 0.6311 0.5869 0.2747  2 In 2.64, 1 Hg 2.72
Se3 0.8683 0.3807 0.7168  2 In 2.64-2.65, 1 Hg 2.71

6.
Entry from the Open Quantum Materials Database: an optimized crystal structure of ReN (PBE).

Cell lengths 2.7802, 2.7802, 3.0180 Å; angles 90.00, 90.00, 120.00 degrees
With the nearest neighbours (Å) after each atom.
Fractional coordinates of all 2 atoms:
N1 0.6667 0.3333 0.5000  6 Re 2.20
Re1 0.0000 0.0000 0.0000  6 N 2.20

Values from the calculation:
Magnetization   0.00 Bohr magnetons per cell
Offset from the most stable computed form   602 meV/atom

7.
Entry from the Open Quantum Materials Database: an optimized crystal structure of TmAlPd (PBE).

Cell lengths 4.6465, 4.6465, 4.6465 Å; angles 60.00, 60.00, 60.00 degrees
With the nearest neighbours (Å) after each atom.
Fractional coordinates of all 3 atoms:
Al1 0.2500 0.2500 0.2500  4 Tm 2.85
Pd1 0.7500 0.7500 0.7500  4 Tm 2.85
Tm1 0.0000 0.0000 0.0000  4 Al 2.85, 4 Pd 2.85

Values from the calculation:
Magnetization   0.01 Bohr magnetons per cell

8.
Entry from the Open Quantum Materials Database: an optimized crystal structure of La3GdAl4 (PBE).

Cell lengths 6.0393, 5.7339, 6.0751 Å; angles 90.00, 101.01, 90.00 degrees
With the nearest neighbours (Å) after each atom.
Fractional coordinates of all 8 atoms:
Al1 0.1914 0.0000 0.1976  2 Al 2.76
Al2 0.4994 0.2485 0.5030  4 Al 2.74-2.88
Al3 0.4994 0.7515 0.5030  4 Al 2.74-2.88
Al4 0.8066 0.5000 0.7998  2 Al 2.74
Gd1 0.0229 0.0000 0.6604  8 Al 3.17-3.50, 3 La 3.37-3.45
La1 0.6561 0.0000 0.0142  8 Al 3.21-3.58, 1 Gd 3.37, 2 La 3.43
La2 0.9848 0.5000 0.3399  6 Al 3.18-3.40, 1 La 3.33, 2 Gd 3.45
La3 0.3393 0.5000 0.9820  8 Al 3.20-3.54, 3 La 3.33-3.43

Values from the calculation:
Magnetization   0.00 Bohr magnetons per cell

no.,uncorrected energy (eV/atom)
1,-7.77
2,-7.55
3,-4.14
4,-5.70
5,-3.37
6,-9.71
7,-4.45
8,-4.71